*a*
This record from Alexandria via LeMat-Bulk describes a relaxed structure of Tl3GeO. The functional is GGA-PBE.

CIF file:
```
data_Tl3GeO
_chemical_formula_sum 'Tl3 Ge1 O1'
_space_group_name_H-M_alt 'P m -3 m'
_space_group_IT_number 221
_space_group_name_Hall '-P 4 2 3'
_cell_length_a 5.023
_cell_length_b 5.023
_cell_length_c 5.023
_cell_angle_alpha 90.00
_cell_angle_beta 90.00
_cell_angle_gamma 90.00
loop_
_atom_site_label
_atom_site_type_symbol
_atom_site_fract_x
_atom_site_fract_y
_atom_site_fract_z
Tl1 Tl 0.000 0.000 0.500
Ge1 Ge 0.500 0.500 0.500
O1 O 0.000 0.000 0.000
```

***

*b*
This record from Alexandria via LeMat-Bulk describes a relaxed structure of Tl3GeO. The functional is GGA-PBE.

CIF file:
```
data_Tl3GeO
_chemical_formula_sum 'Tl3 Ge1 O1'
_space_group_name_H-M_alt 'P m -3 m'
_space_group_IT_number 221
_space_group_name_Hall '-P 4 2 3'
_cell_length_a 5.483
_cell_length_b 5.483
_cell_length_c 5.483
_cell_angle_alpha 90.00
_cell_angle_beta 90.00
_cell_angle_gamma 90.00
loop_
_atom_site_label
_atom_site_type_symbol
_atom_site_fract_x
_atom_site_fract_y
_atom_site_fract_z
Tl1 Tl 0.000 0.000 0.500
Ge1 Ge 0.000 0.000 0.000
O1 O 0.500 0.500 0.500
```

***

Winner for stability: *a*

***

*a*
This record from Alexandria via LeMat-Bulk describes a relaxed structure of TlGe2O. The functional is GGA-PBE.

CIF file:
```
data_TlGe2O
_chemical_formula_sum 'Tl4 Ge8 O4'
_space_group_name_H-M_alt 'F m -3 m'
_space_group_IT_number 225
_space_group_name_Hall '-F 4 2 3'
_cell_length_a 6.650
_cell_length_b 6.650
_cell_length_c 6.650
_cell_angle_alpha 90.00
_cell_angle_beta 90.00
_cell_angle_gamma 90.00
loop_
_atom_site_label
_atom_site_type_symbol
_atom_site_fract_x
_atom_site_fract_y
_atom_site_fract_z
Tl1 Tl 0.000 0.000 0.000
Ge1 Ge 0.250 0.250 0.250
O1 O 0.000 0.000 0.500
```

***

*b*
This record from Alexandria via LeMat-Bulk describes a relaxed structure of TlGe2O. The functional is GGA-PBE.

CIF file:
```
data_TlGe2O
_chemical_formula_sum 'Tl4 Ge8 O4'
_space_group_name_H-M_alt 'I -4 2 d'
_space_group_IT_number 122
_space_group_name_Hall 'I -4 2bw'
_cell_length_a 5.106
_cell_length_b 5.106
_cell_length_c 13.503
_cell_angle_alpha 90.00
_cell_angle_beta 90.00
_cell_angle_gamma 90.00
loop_
_atom_site_label
_atom_site_type_symbol
_atom_site_fract_x
_atom_site_fract_y
_atom_site_fract_z
Tl1 Tl 0.000 0.000 0.000
Ge1 Ge 0.093 0.250 0.625
O1 O 0.000 0.000 0.500
```

***

Winner for stability: *b*

***

*a*
This record from Alexandria via LeMat-Bulk describes a relaxed structure of UGeO2. The functional is GGA-PBE.

CIF file:
```
data_UGeO2
_chemical_formula_sum 'U8 Ge8 O16'
_space_group_name_H-M_alt 'I 41/a'
_space_group_IT_number 88
_cell_length_a 7.182
_cell_length_b 7.182
_cell_length_c 10.244
_cell_angle_alpha 90.00
_cell_angle_beta 90.00
_cell_angle_gamma 90.00
loop_
_space_group_symop_operation_xyz
'x,y,z'
'-x,-y,-z'
'-y+3/4,x+1/4,z+1/4'
'y+3/4,-x+1/4,-z+1/4'
'-x+1/2,-y,z+1/2'
'x+1/2,y,-z+1/2'
'y+3/4,-x+3/4,z+3/4'
'-y+3/4,x+3/4,-z+3/4'
'x+1/2,y+1/2,z+1/2'
'-x+1/2,-y+1/2,-z+1/2'
'-y+1/4,x+3/4,z+3/4'
'y+1/4,-x+3/4,-z+3/4'
'-x,-y+1/2,z'
'x,y+1/2,-z'
'y+1/4,-x+1/4,z+1/4'
'-y+1/4,x+1/4,-z+1/4'
loop_
_atom_site_label
_atom_site_type_symbol
_atom_site_fract_x
_atom_site_fract_y
_atom_site_fract_z
U1 U 0.000 0.000 0.000
Ge1 Ge 0.000 0.000 0.500
O1 O 0.016 0.065 0.215
```

***

*b*
This record from Alexandria via LeMat-Bulk describes a relaxed structure of UGeO2. The functional is GGA-PBE.

CIF file:
```
data_UGeO2
_chemical_formula_sum 'U3 Ge3 O6'
_space_group_name_H-M_alt 'R -3 m'
_space_group_IT_number 166
_space_group_name_Hall '-R 3 2"'
_cell_length_a 3.5078
_cell_length_b 3.5078
_cell_length_c 19.7472
_cell_angle_alpha 90.00
_cell_angle_beta 90.00
_cell_angle_gamma 120.00
loop_
_atom_site_label
_atom_site_type_symbol
_atom_site_fract_x
_atom_site_fract_y
_atom_site_fract_z
U1 U 0.0000 0.0000 0.0000
Ge1 Ge 0.0000 0.0000 0.5000
O1 O 0.0000 0.0000 0.1037
```

***

Winner for stability: *a*